[1]
DFT (SCAN) results for a crystal of BeCuSi2 relaxed with PBEsol.

a b c (Å): 2.4384 3.2695 6.2779
angles (deg): 90.00 101.20 90.00
Atoms (fractional coordinates):
Be  0.0512  0.0000  0.1024
Cu  0.4535  0.5000  0.9071
Si  0.8344  0.0000  0.6688
Si  0.6624  0.5000  0.3247

Calculated values
Spin magnetization: 0.000 μB per cell
Uncorrected formation energy: 0.228 eV per atom
E_tot: -38.672 eV/cell

[2]
DFT (SCAN) results for a crystal of Li2Cu2S3 relaxed with PBEsol.

a b c (Å): 6.4450 8.7046 8.7046
angles (deg): 87.84 71.90 71.90
Atoms (fractional coordinates):
S  0.2175  0.1464  0.5971
S  0.7088  0.0087  0.7881
S  0.2088  0.7881  0.0087
S  0.2912  0.9913  0.2119
S  0.2202  0.4303  0.2799
S  0.7798  0.5697  0.7201
S  0.7912  0.2119  0.9913
S  0.2798  0.7201  0.5697
S  0.2825  0.4029  0.8536
S  0.7175  0.5971  0.1464
S  0.7202  0.2799  0.4303
S  0.7825  0.8536  0.4029
Cu  0.1005  0.2212  0.3827
Cu  0.8995  0.7788  0.6173
Cu  0.6005  0.3827  0.2212
Cu  0.4054  0.9155  0.4294
Cu  0.0946  0.5706  0.0845
Cu  0.3995  0.6173  0.7788
Cu  0.9054  0.4294  0.9155
Cu  0.5946  0.0845  0.5706
Li  0.8983  0.0470  0.2096
Li  0.1017  0.9530  0.7904
Li  0.7500  0.5677  0.4323
Li  0.7500  0.2847  0.7153
Li  0.3983  0.2096  0.0470
Li  0.2500  0.7153  0.2847
Li  0.2500  0.4323  0.5677
Li  0.6017  0.7904  0.9530

Calculated values
Spin magnetization: 0.000 μB per cell
Uncorrected formation energy: -0.710 eV per atom
E_tot: -276.117 eV/cell

[3]
DFT (SCAN) results for a crystal of LaAg2As relaxed with PBEsol.

a b c (Å): 4.2472 4.3075 5.6344
angles (deg): 112.47 112.14 90.00
Atoms (fractional coordinates):
La  0.0000  0.5000  0.0000
Ag  0.2483  0.2483  0.4966
Ag  0.7517  0.7517  0.5034
As  0.5000  0.0000  0.0000

Calculated values
Spin magnetization: 0.000 μB per cell
ΔH_f (0 K): -45 kJ/mol of atoms
E_tot: -127.891 eV/cell

[4]
DFT (SCAN) results for a crystal of CrRe2Se relaxed with PBEsol.

a b c (Å): 2.7204 2.7204 8.7385
angles (deg): 90.00 90.00 114.03
Last column: magnetic moment on the atom in μB.
Atoms (fractional coordinates):
Cr  0.5000  0.5000  0.2467  2.29
Se  0.0000  0.0000  0.4714  -0.08
Re  0.5000  0.5000  0.7681  0.05
Re  0.0000  0.0000  0.0138  -0.18

Calculated values
Spin magnetization: 2.229 μB per cell
Uncorrected formation energy: 0.572 eV per atom
ΔE to the lowest computed polymorph: 7.32 kcal/mol of atoms
E_tot: -178.369 eV/cell

[5]
DFT (SCAN) results for a crystal of SbAs2PdBr relaxed with PBEsol.

a b c (Å): 4.8650 4.8650 4.9216
angles (deg): 90.00 90.00 90.00
Last column: magnetic moment on the atom in μB.
Atoms (fractional coordinates):
Br  0.0000  0.0000  0.5000  0.04
As  0.5000  0.0000  0.0000  0.16
As  0.0000  0.5000  0.0000  0.16
Pd  0.0000  0.0000  0.0000  0.05
Sb  0.5000  0.5000  0.5000  -0.06

Calculated values
Spin magnetization: 0.551 μB per cell
Uncorrected formation energy: 0.443 eV per atom
ΔE to the lowest computed polymorph: 0.00 kcal/mol of atoms
E_tot: -127.659 eV/cell

[6]
DFT (SCAN) results for a crystal of Li2In2GeSe6 relaxed with PBEsol.

a b c (Å): 7.3536 7.3536 12.6461
angles (deg): 72.62 72.62 60.73
Atoms (fractional coordinates):
Li  0.9858  0.5929  0.6662
Li  0.6052  0.4009  0.4968
Li  0.4009  0.6052  0.9968
Li  0.5929  0.9858  0.1662
In  0.0717  0.8833  0.3132
In  0.8833  0.0717  0.8132
In  0.0832  0.2300  0.0088
In  0.2300  0.0832  0.5088
Se  0.7808  0.2793  0.3001
Se  0.0400  0.5744  0.0550
Se  0.7513  0.7847  0.8409
Se  0.2708  0.3277  0.8025
Se  0.7354  0.2296  0.9965
Se  0.3277  0.2708  0.3025
Se  0.5744  0.0400  0.5550
Se  0.3336  0.8757  0.1207
Se  0.8757  0.3336  0.6207
Se  0.7847  0.7513  0.3409
Se  0.2296  0.7354  0.4965
Se  0.2793  0.7808  0.8001
Ge  0.4571  0.9944  0.7505
Ge  0.9944  0.4571  0.2505

Calculated values
Spin magnetization: 0.000 μB per cell
Uncorrected formation energy: -0.789 eV per atom
E_tot: -439.587 eV/cell